(1)
Entry from Alexandria via LeMat-Bulk: ZrAg2As2 after structural relaxation (PBE).

Values from the calculation:
**SG**: No. 127
**ΔE_f**: -0.118 eV per atom

Unit cell a=7.325 b=7.325 c=3.664 alpha=90.00 beta=90.00 gamma=90.00
Element x y z (fractional)
Zr1 0.500 0.500 0.000
Zr2 0.000 0.000 0.000
Ag1 0.641 0.859 0.500
Ag2 0.359 0.141 0.500
Ag3 0.859 0.359 0.500
Ag4 0.141 0.641 0.500
As1 0.162 0.338 0.000
As2 0.338 0.838 0.000
As3 0.838 0.662 0.000
As4 0.662 0.162 0.000

***

(2)
Entry from Alexandria via LeMat-Bulk: Tl3SnC after structural relaxation (PBE).

Values from the calculation:
**SG**: No. 221
**ΔE_f**: 0.967 eV per atom
**Relative energy among the computed polymorphs**: 0.000 eV/atom

Unit cell a=5.011 b=5.011 c=5.011 alpha=90.00 beta=90.00 gamma=90.00
Element x y z (fractional)
Tl1 0.000 0.500 0.000
Tl2 0.500 0.000 0.000
Tl3 0.000 0.000 0.500
C1 0.000 0.000 0.000
Sn1 0.500 0.500 0.500

***

(3)
Entry from Alexandria via LeMat-Bulk: BaSn7Pb12 after structural relaxation (PBE).

Values from the calculation:
**SG**: No. 204
**ΔE_f**: 0.229 eV per atom

Unit cell a=9.929 b=9.929 c=9.929 alpha=109.47 beta=109.47 gamma=109.47
Element x y z (fractional)
Pb1 0.825 0.517 0.692
Pb2 0.825 0.133 0.308
Pb3 0.133 0.308 0.825
Pb4 0.175 0.867 0.692
Pb5 0.517 0.692 0.825
Pb6 0.483 0.308 0.175
Pb7 0.308 0.175 0.483
Pb8 0.692 0.175 0.867
Pb9 0.692 0.825 0.517
Pb10 0.867 0.692 0.175
Pb11 0.175 0.483 0.308
Pb12 0.308 0.825 0.133
Sn1 0.000 0.000 0.500
Sn2 0.500 0.000 0.500
Sn3 0.500 0.500 0.500
Sn4 0.000 0.500 0.000
Sn5 0.000 0.500 0.500
Sn6 0.500 0.500 0.000
Sn7 0.500 0.000 0.000
Ba1 0.000 0.000 0.000

***

(4)
Entry from Alexandria via LeMat-Bulk: NaAcH3 after structural relaxation (PBE).

Values from the calculation:
**SG**: No. 221
**E**: -3.279 eV/atom

Unit cell a=4.125 b=4.125 c=4.125 alpha=90.00 beta=90.00 gamma=90.00
Last column: magnetic moment on the atom in μB.
Element x y z (fractional)
H1 0.000 0.500 0.000  0.00
H2 0.000 0.000 0.500  0.00
H3 0.500 0.000 0.000  0.00
Ac1 0.500 0.500 0.500  0.06
Na1 0.000 0.000 0.000  0.00

***

(5)
Entry from Alexandria via LeMat-Bulk: CaHgIr2 after structural relaxation (PBE).

Values from the calculation:
**SG**: No. 10
**ΔE_f**: 0.204 eV per atom

Unit cell a=4.814 b=2.922 c=5.353 alpha=82.19 beta=90.00 gamma=90.00
Element x y z (fractional)
Ca1 0.500 0.250 0.250
Ir1 0.000 0.572 0.529
Ir2 0.000 0.928 0.971
Hg1 0.500 0.750 0.750

***

(6)
Entry from Alexandria via LeMat-Bulk: Zn2AgTe after structural relaxation (PBE).

Values from the calculation:
**SG**: No. 12
**Formation energy (no corrections)**: 0.60 eV per formula unit
**Relative energy among the computed polymorphs**: 0.154 eV/atom

Unit cell a=6.273 b=4.693 c=3.998 alpha=83.10 beta=62.76 gamma=118.25
Element x y z (fractional)
Te1 0.500 0.500 0.000
Zn1 0.000 0.000 0.000
Zn2 0.500 0.000 0.500
Ag1 0.000 0.500 0.500

***

(7)
Entry from Alexandria via LeMat-Bulk: Cr5Fe3 after structural relaxation (PBE).

Values from the calculation:
**SG**: No. 2
**ΔE_f**: 0.179 eV per atom
**Relative energy among the computed polymorphs**: 0.121 eV/atom

Unit cell a=4.503 b=6.358 c=7.304 alpha=97.70 beta=67.51 gamma=110.83
Element x y z (fractional)
Cr1 0.669 0.300 0.832
Cr2 0.202 0.151 0.702
Cr3 0.798 0.849 0.299
Cr4 0.331 0.700 0.169
Cr5 0.742 0.500 0.500
Cr6 0.131 0.302 0.170
Cr7 0.258 0.500 0.501
Cr8 0.550 0.848 0.703
Cr9 0.869 0.698 0.831
Cr10 0.450 0.152 0.298
Fe1 0.245 0.498 0.863
Fe2 0.178 0.854 0.500
Fe3 0.822 0.146 0.501
Fe4 0.223 0.946 0.000
Fe5 0.755 0.502 0.138
Fe6 0.777 0.054 0.000

***

(8)
Entry from Alexandria via LeMat-Bulk: AcEr2O after structural relaxation (PBE).

Values from the calculation:
**SG**: No. 166
**Formation energy (no corrections)**: -4.67 eV per formula unit
**Relative energy among the computed polymorphs**: 0.000 eV/atom

Unit cell a=3.539 b=3.539 c=9.872 alpha=79.68 beta=79.68 gamma=60.00
Element x y z (fractional)
O1 0.500 0.500 0.500
Er1 0.877 0.877 0.368
Er2 0.123 0.123 0.632
Ac1 0.000 0.000 0.000

***

(9)
Entry from Alexandria via LeMat-Bulk: BaMnHg after structural relaxation (PBE).

Values from the calculation:
**SG**: No. 216
**ΔE_f**: 0.346 eV per atom
**Relative energy among the computed polymorphs**: 0.239 eV/atom

Unit cell a=5.319 b=5.319 c=5.319 alpha=60.00 beta=60.00 gamma=60.00
Last column: magnetic moment on the atom in μB.
Element x y z (fractional)
Hg1 0.250 0.250 0.250  -0.05
Mn1 0.000 0.000 0.000  4.19
Ba1 0.500 0.500 0.500  -0.07

***

(10)
Entry from Alexandria via LeMat-Bulk: ZrGaIN2 after structural relaxation (PBE).

Values from the calculation:
**SG**: No. 123
**Formation energy (no corrections)**: 1.52 eV per formula unit
**Relative energy among the computed polymorphs**: 0.000 eV/atom

Unit cell a=4.271 b=4.271 c=6.114 alpha=90.00 beta=90.00 gamma=90.00
Last column: magnetic moment on the atom in μB.
Element x y z (fractional)
N1 0.000 0.500 0.000  0.31
N2 0.500 0.000 0.000  0.31
Zr1 0.000 0.000 0.000  -0.06
I1 0.000 0.000 0.500  0.01
Ga1 0.500 0.500 0.500  0.00

***

(11)
Entry from Alexandria via LeMat-Bulk: AlSi2Ni after structural relaxation (PBE).

Values from the calculation:
**SG**: No. 216
**Formation energy (no corrections)**: 0.61 eV per formula unit

Unit cell a=4.261 b=4.261 c=4.261 alpha=60.00 beta=60.00 gamma=60.00
Element x y z (fractional)
Al1 0.500 0.500 0.500
Si1 0.250 0.250 0.250
Si2 0.000 0.000 0.000
Ni1 0.750 0.750 0.750

***

(12)
Entry from Alexandria via LeMat-Bulk: La2Nd3Y after structural relaxation (PBE).

Values from the calculation:
**SG**: No. 15
**ΔE_f**: 0.124 eV per atom
**Relative energy among the computed polymorphs**: 0.066 eV/atom

Unit cell a=7.024 b=9.423 c=7.139 alpha=100.95 beta=90.00 gamma=111.88
Element x y z (fractional)
Nd1 0.133 0.282 0.568
Nd2 0.262 0.000 0.250
Nd3 0.867 0.718 0.432
Nd4 0.851 0.718 0.932
Nd5 0.149 0.282 0.068
Nd6 0.738 0.000 0.750
Y1 0.736 0.000 0.250
Y2 0.264 0.000 0.750
La1 0.664 0.348 0.589
La2 0.684 0.348 0.089
La3 0.316 0.652 0.911
La4 0.336 0.652 0.411

***

- Which formula does entry 4 have?
  NaAcH3